(1)
A plane-wave DFT calculation with PBE was carried out for a geometry-optimized CuHRh2Au structure.

```
CuHRh2Au
1.0
3.864 0.000 0.000
0.000 3.864 0.000
0.000 0.000 4.170
Rh Au Cu H
2 1 1 1
Direct
0.000 0.500 0.000
0.500 0.000 0.000
0.000 0.000 0.500
0.500 0.500 0.500
0.000 0.000 0.000
```

## Properties
E (eV per cell): -24.6
Crystal system: tetragonal
Excess energy over the best structure of this formula in the dataset (eV per atom): 0.0769

***

(2)
A plane-wave DFT calculation with PBE was carried out for a geometry-optimized TmHfCoIr structure.

```
TmHfCoIr
1.0
4.650 0.000 0.000
2.325 4.027 0.000
2.325 1.342 3.797
Co Tm Ir Hf
1 1 1 1
Direct
0.500 0.500 0.500
0.750 0.750 0.750
0.000 0.000 0.000
0.250 0.250 0.250
```

## Properties
ΔH_f (0 K) (meV per atom): -622
E (eV per cell): -32.9
Crystal system: cubic